Density functional theory data (PBE) for a geometry-optimized KSICl2 structure.

Cell lengths 5.6488, 5.6488, 5.1718 Å; angles 90.00, 90.00, 90.00 degrees
Closest atoms and distances in Å follow each position.
Element x y z (fractional)
1 K 0.5000 0.5000 0.5000  8 Cl 3.83, 4 S 3.99
2 S 0.0000 0.0000 0.5000  2 I 2.59
3 Cl 0.5000 0.0000 0.0000  2 I 2.82
4 Cl 0.0000 0.5000 0.0000  2 I 2.82
5 I 0.0000 0.0000 0.0000  2 S 2.59, 4 Cl 2.82

- N(E_F): 2.03 states/eV/cell
- Calculated total energy: -12.732 eV/f.u.
- Energy above the lowest structure with this stoichiometry: 0 meV/atom
- Formation energy from raw total energies: -0.453 eV/atom
- Total moment: 0.00 μB per formula unit

***

Density functional theory data (PBE) for a geometry-optimized K2SICl structure.

Cell lengths 6.0261, 5.7184, 6.0261 Å; angles 90.00, 90.00, 90.00 degrees
Closest atoms and distances in Å follow each position.
Element x y z (fractional)
1 S 0.5000 0.5000 0.5000  8 K 4.15, 4 I 4.26
2 I 0.0000 0.5000 0.0000  2 Cl 2.86
3 K 0.0000 0.0000 0.5000  2 Cl 3.01
4 K 0.5000 0.0000 0.0000  2 Cl 3.01
5 Cl 0.0000 0.0000 0.0000  2 I 2.86, 4 K 3.01

- N(E_F): 5.45 states/eV/cell
- Calculated total energy: -12.746 eV/f.u.
- Formation energy from raw total energies: -0.605 eV/atom
- Total moment: 1.01 μB per formula unit

***

Density functional theory data (PBE) for a geometry-optimized KSICl2 structure.

Cell lengths 5.8668, 5.8668, 6.1984 Å; angles 90.00, 90.00, 90.00 degrees
Closest atoms and distances in Å follow each position.
Element x y z (fractional)
1 K 0.0000 0.0000 0.0000  4 Cl 2.93, 2 S 3.10
2 Cl 0.5000 0.0000 0.0000  2 K 2.93
3 S 0.0000 0.0000 0.5000  2 K 3.10
4 I 0.5000 0.5000 0.5000  4 S 4.15, 8 Cl 4.27
5 Cl 0.0000 0.5000 0.0000  2 K 2.93

- N(E_F): 8.07 states/eV/cell
- Calculated total energy: -9.364 eV/f.u.
- Energy above the lowest structure with this stoichiometry: 674 meV/atom
- Formation energy from raw total energies: 0.221 eV/atom
- Total moment: 4.01 μB per formula unit

***

Density functional theory data (PBE) for a geometry-optimized KSbI2Cl structure.

Cell lengths 6.1784, 6.1784, 5.4999 Å; angles 90.00, 90.00, 90.00 degrees
Closest atoms and distances in Å follow each position.
Element x y z (fractional)
1 K 0.5000 0.5000 0.5000  8 I 4.14, 4 Cl 4.37
2 I 0.5000 0.0000 0.0000  2 Sb 3.09
3 Cl 0.0000 0.0000 0.5000  2 Sb 2.75
4 I 0.0000 0.5000 0.0000  2 Sb 3.09
5 Sb 0.0000 0.0000 0.0000  2 Cl 2.75

- N(E_F): 0.65 states/eV/cell
- Calculated total energy: -14.109 eV/f.u.
- Energy above the lowest structure with this stoichiometry: 0 meV/atom
- Formation energy from raw total energies: -0.788 eV/atom
- Total moment: 0.00 μB per formula unit

***

Density functional theory data (PBE) for a geometry-optimized KSbI2Cl structure.

Cell lengths 6.3227, 6.3227, 9.0586 Å; angles 90.00, 90.00, 90.00 degrees
Closest atoms and distances in Å follow each position.
Element x y z (fractional)
1 I 0.5000 0.0000 0.0000  2 K 3.16
2 Cl 0.5000 0.5000 0.5000  4 Sb 4.47
3 I 0.0000 0.5000 0.0000  2 K 3.16
4 Sb 0.0000 0.0000 0.5000  4 Cl 4.47, 2 K 4.53
5 K 0.0000 0.0000 0.0000  4 I 3.16

- N(E_F): 10.64 states/eV/cell
- Calculated total energy: -8.380 eV/f.u.
- Energy above the lowest structure with this stoichiometry: 1146 meV/atom
- Formation energy from raw total energies: 0.357 eV/atom
- Total moment: 3.03 μB per formula unit

***

Density functional theory data (PBE) for a geometry-optimized KSbI2Cl structure.

Cell lengths 6.9548, 6.9548, 4.9384 Å; angles 90.00, 90.00, 90.00 degrees
Closest atoms and distances in Å follow each position.
Element x y z (fractional)
1 I 0.0000 0.5000 0.0000  2 Cl 3.48
2 I 0.5000 0.0000 0.0000  2 Cl 3.48
3 Sb 0.0000 0.0000 0.5000  2 Cl 2.47
4 Cl 0.0000 0.0000 0.0000  2 Sb 2.47
5 K 0.5000 0.5000 0.5000  8 I 4.26

- N(E_F): 4.45 states/eV/cell
- Calculated total energy: -11.157 eV/f.u.
- Energy above the lowest structure with this stoichiometry: 590 meV/atom
- Formation energy from raw total energies: -0.198 eV/atom
- Total moment: 0.00 μB per formula unit

***

Density functional theory data (PBE) for a geometry-optimized KScI2Cl structure.

Cell lengths 5.9716, 5.9716, 5.0348 Å; angles 90.00, 90.00, 90.00 degrees
Closest atoms and distances in Å follow each position.
Element x y z (fractional)
1 K 0.5000 0.5000 0.5000  8 I 3.91, 4 Cl 4.22
2 Cl 0.0000 0.0000 0.5000  2 Sc 2.52
3 I 0.0000 0.5000 0.0000  2 Sc 2.99
4 Sc 0.0000 0.0000 0.0000  2 Cl 2.52
5 I 0.5000 0.0000 0.0000  2 Sc 2.99

- N(E_F): 2.48 states/eV/cell
- Calculated total energy: -19.253 eV/f.u.
- Formation energy from raw total energies: -1.375 eV/atom
- Total moment: 1.00 μB per formula unit

***

Density functional theory data (PBE) for a geometry-optimized KScICl2 structure.

Cell lengths 5.1158, 5.1158, 6.0261 Å; angles 90.00, 90.00, 90.00 degrees
Closest atoms and distances in Å follow each position.
Element x y z (fractional)
1 I 0.0000 0.0000 0.5000  2 Sc 3.01
2 K 0.5000 0.5000 0.5000  4 I 3.62, 8 Cl 3.95
3 Cl 0.0000 0.5000 0.0000  2 Sc 2.56
4 Sc 0.0000 0.0000 0.0000  4 Cl 2.56
5 Cl 0.5000 0.0000 0.0000  2 Sc 2.56

- N(E_F): 2.11 states/eV/cell
- Calculated total energy: -20.705 eV/f.u.
- Formation energy from raw total energies: -1.607 eV/atom
- Total moment: 1.00 μB per formula unit

***

Density functional theory data (PBE) for a geometry-optimized KSeICl2 structure.

Cell lengths 5.4471, 5.4471, 5.5441 Å; angles 90.00, 90.00, 90.00 degrees
Closest atoms and distances in Å follow each position.
Element x y z (fractional)
1 Cl 0.5000 0.0000 0.0000  2 Se 2.72
2 K 0.5000 0.5000 0.5000  4 I 3.85, 8 Cl 3.89
3 I 0.0000 0.0000 0.5000  2 Se 2.77
4 Se 0.0000 0.0000 0.0000  4 Cl 2.72, 2 I 2.77
5 Cl 0.0000 0.5000 0.0000  2 Se 2.72

- N(E_F): 3.09 states/eV/cell
- Calculated total energy: -13.221 eV/f.u.
- Formation energy from raw total energies: -0.679 eV/atom
- Total moment: 0.00 μB per formula unit

***

Density functional theory data (PBE) for a geometry-optimized K6SeI3Cl2 structure.

Cell lengths 8.4853, 8.4853, 8.1947 Å; angles 99.93, 99.93, 119.86 degrees
Closest atoms and distances in Å follow each position.
Element x y z (fractional)
1 K 0.9257 0.5784 0.7773  2 Cl 3.25-3.26, 1 Se 3.41, 3 I 3.51-3.60
2 K 0.2747 0.2747 0.7818  2 Cl 3.25, 1 Se 3.40, 3 I 3.47-3.55
3 K 0.0743 0.4216 0.2227  2 Cl 3.25-3.26, 1 Se 3.41, 3 I 3.51-3.60
4 K 0.5784 0.9257 0.7773  2 Cl 3.25-3.26, 1 Se 3.41, 3 I 3.51-3.60
5 K 0.4216 0.0743 0.2227  2 Cl 3.25-3.26, 1 Se 3.41, 3 I 3.51-3.60
6 I 0.8396 0.1604 0.5000  6 K 3.51-3.60
7 I 0.1604 0.8396 0.5000  6 K 3.51-3.60
8 I 0.5000 0.5000 0.5000  6 K 3.47-3.59
9 Cl 0.3326 0.6674 0.0000  6 K 3.25-3.26
10 Cl 0.6674 0.3326 0.0000  6 K 3.25-3.26
11 Se 0.0000 0.0000 0.0000  6 K 3.40-3.41
12 K 0.7253 0.7253 0.2182  2 Cl 3.25, 1 Se 3.40, 3 I 3.47-3.55

- N(E_F): 1.76 states/eV/cell
- Calculated total energy: -35.859 eV/f.u.
- Formation energy from raw total energies: -1.454 eV/atom
- Total moment: 1.02 μB per formula unit

***

Density functional theory data (PBE) for a geometry-optimized KSeI2Cl structure.

Cell lengths 6.0393, 6.0393, 5.0238 Å; angles 90.00, 90.00, 90.00 degrees
Closest atoms and distances in Å follow each position.
Element x y z (fractional)
1 K 0.5000 0.5000 0.5000  8 I 3.93, 4 Cl 4.27
2 Se 0.0000 0.0000 0.0000  2 Cl 2.51
3 Cl 0.0000 0.0000 0.5000  2 Se 2.51
4 I 0.5000 0.0000 0.0000  2 Se 3.02
5 I 0.0000 0.5000 0.0000  2 Se 3.02

- N(E_F): 4.13 states/eV/cell
- Calculated total energy: -12.491 eV/f.u.
- Formation energy from raw total energies: -0.592 eV/atom
- Total moment: 0.00 μB per formula unit

***

Density functional theory data (PBE) for a geometry-optimized KSn2ICl structure.

Cell lengths 5.9927, 7.1085, 5.9927 Å; angles 90.00, 90.00, 90.00 degrees
Closest atoms and distances in Å follow each position.
Element x y z (fractional)
1 K 0.0000 0.5000 0.0000  2 I 3.55
2 Sn 0.5000 0.0000 0.0000  2 I 3.00
3 Sn 0.0000 0.0000 0.5000  2 I 3.00
4 Cl 0.5000 0.5000 0.5000  4 K 4.24, 8 Sn 4.65
5 I 0.0000 0.0000 0.0000  4 Sn 3.00

- N(E_F): 3.83 states/eV/cell
- Calculated total energy: -12.106 eV/f.u.
- Formation energy from raw total energies: 0.079 eV/atom
- Total moment: 1.63 μB per formula unit

***

Density functional theory data (PBE) for a geometry-optimized K2SnI2Cl4 structure.

Cell lengths 7.6850, 7.6850, 7.6850 Å; angles 88.66, 120.78, 120.78 degrees
Closest atoms and distances in Å follow each position.
Element x y z (fractional)
1 I 0.0000 0.7404 0.7404  1 Sn 2.85
2 Cl 0.0000 0.2315 0.7685  1 Sn 2.49
3 Cl 0.4631 0.2315 0.2315  1 Sn 2.49
4 K 0.5000 0.7500 0.2500  4 I 3.80, 8 Cl 3.85
5 K 0.5000 0.2500 0.7500  4 I 3.80, 8 Cl 3.85
6 I 0.0000 0.2596 0.2596  1 Sn 2.85
7 Sn 0.0000 0.0000 0.0000  4 Cl 2.49
8 Cl 0.0000 0.7685 0.2315  1 Sn 2.49
9 Cl 0.5369 0.7685 0.7685  1 Sn 2.49

- Calculated total energy: -27.658 eV/f.u.
- Formation energy from raw total energies: -1.219 eV/atom
- Total moment: 0.00 μB per formula unit

***

Density functional theory data (PBE) for a geometry-optimized KSrICl2 structure.

Cell lengths 5.6488, 5.6488, 6.5648 Å; angles 90.00, 90.00, 90.00 degrees
Closest atoms and distances in Å follow each position.
Element x y z (fractional)
1 Cl 0.5000 0.0000 0.0000  2 Sr 2.82
2 Sr 0.0000 0.0000 0.0000  4 Cl 2.82
3 Cl 0.0000 0.5000 0.0000  2 Sr 2.82
4 I 0.0000 0.0000 0.5000  2 Sr 3.28
5 K 0.5000 0.5000 0.5000  4 I 3.99, 8 Cl 4.33

- N(E_F): 0.00 states/eV/cell
- Calculated total energy: -17.882 eV/f.u.
- Formation energy from raw total energies: -1.972 eV/atom
- Total moment: 0.00 μB per formula unit

***

Density functional theory data (PBE) for a geometry-optimized KSrI2Cl structure.

Cell lengths 4.7930, 8.1282, 10.9261 Å; angles 90.00, 90.00, 107.15 degrees
Closest atoms and distances in Å follow each position.
Element x y z (fractional)
1 Sr 0.0000 0.0000 0.0000  2 Cl 2.95
2 Cl 0.0711 0.1421 0.2500  2 Sr 2.95, 2 K 3.28
3 I 0.3597 0.7194 0.4397  2 Sr 3.31, 1 K 3.59
4 K 0.7155 0.4311 0.2500  2 Cl 3.28, 2 I 3.59
5 Cl 0.9289 0.8579 0.7500  2 Sr 2.95, 2 K 3.28
6 I 0.3597 0.7194 0.0603  2 Sr 3.31, 1 K 3.59
7 K 0.2845 0.5689 0.7500  2 Cl 3.28, 2 I 3.59
8 Sr 0.0000 0.0000 0.5000  2 Cl 2.95
9 I 0.6403 0.2806 0.5603  2 Sr 3.31, 1 K 3.59
10 I 0.6403 0.2806 0.9397  2 Sr 3.31, 1 K 3.59

- N(E_F): 0.00 states/eV/cell
- Calculated total energy: -16.903 eV/f.u.
- Energy above the lowest structure with this stoichiometry: 0 meV/atom
- Formation energy from raw total energies: -1.835 eV/atom
- Total moment: 0.00 μB per formula unit

***

Density functional theory data (PBE) for a geometry-optimized KSrI2Cl structure.

Cell lengths 6.4938, 6.4938, 5.6009 Å; angles 90.00, 90.00, 90.00 degrees
Closest atoms and distances in Å follow each position.
Element x y z (fractional)
1 Cl 0.0000 0.0000 0.5000  2 Sr 2.80
2 I 0.5000 0.0000 0.0000  2 Sr 3.25
3 Sr 0.0000 0.0000 0.0000  2 Cl 2.80
4 I 0.0000 0.5000 0.0000  2 Sr 3.25
5 K 0.5000 0.5000 0.5000  8 I 4.29, 4 Cl 4.59

- N(E_F): 0.00 states/eV/cell
- Calculated total energy: -16.481 eV/f.u.
- Energy above the lowest structure with this stoichiometry: 84 meV/atom
- Formation energy from raw total energies: -1.751 eV/atom
- Total moment: 0.00 μB per formula unit

***

Density functional theory data (PBE) for a geometry-optimized K3TaI2Cl6 structure.

Cell lengths 5.8027, 8.9699, 9.7496 Å; angles 117.39, 90.22, 90.00 degrees
Closest atoms and distances in Å follow each position.
Element x y z (fractional)
1 Cl 0.2697 0.1301 0.8832  1 Ta 2.38
2 I 0.0689 0.6953 0.3907  3 K 3.40-3.49
3 I 0.9311 0.3047 0.6093  3 K 3.40-3.49
4 K 0.0000 0.5000 0.0000  4 Cl 3.36, 2 I 3.40
5 Ta 0.5000 0.0000 0.0000  6 Cl 2.36-2.38
6 K 0.5000 0.5000 0.5000  2 I 3.49, 4 Cl 3.56-3.62
7 Cl 0.7356 0.8891 0.7781  1 Ta 2.36
8 Cl 0.2644 0.1109 0.2219  1 Ta 2.36
9 Cl 0.7303 0.8699 0.1168  1 Ta 2.38
10 Cl 0.7303 0.2469 0.1168  1 Ta 2.38
11 Cl 0.2697 0.7531 0.8832  1 Ta 2.38
12 K 0.5000 0.0000 0.5000  2 I 3.49, 4 Cl 3.56-3.62

- Calculated total energy: -47.018 eV/f.u.
- Formation energy from raw total energies: -1.474 eV/atom
- Total moment: 0.00 μB per formula unit

***

Density functional theory data (PBE) for a geometry-optimized K2TcI2Cl4 structure.

Cell lengths 7.7771, 7.3715, 7.3715 Å; angles 60.45, 61.44, 61.44 degrees
Closest atoms and distances in Å follow each position.
Element x y z (fractional)
1 K 0.6986 0.2565 0.2565  4 Cl 3.27-3.30, 1 I 3.65
2 K 0.3014 0.7435 0.7435  4 Cl 3.27-3.30, 1 I 3.65
3 Cl 0.3318 0.7289 0.1825  1 Tc 2.38
4 Cl 0.6682 0.2711 0.8175  1 Tc 2.38
5 Tc 0.5000 0.0000 0.0000  4 Cl 2.38
6 Cl 0.3318 0.1825 0.7289  1 Tc 2.38
7 I 0.8258 0.7504 0.7504  1 Tc 2.76
8 I 0.1742 0.2496 0.2496  1 Tc 2.76
9 Cl 0.6682 0.8175 0.2711  1 Tc 2.38

- Calculated total energy: -33.090 eV/f.u.
- Formation energy from raw total energies: -1.116 eV/atom
- Total moment: 2.99 μB per formula unit

***

Density functional theory data (PBE) for a geometry-optimized K2TcICl6 structure.

Cell lengths 8.3075, 8.5744, 8.0482 Å; angles 55.87, 49.77, 54.26 degrees
Closest atoms and distances in Å follow each position.
Element x y z (fractional)
1 Cl 0.1150 0.3772 0.8968  1 Tc 2.40
2 Cl 0.5695 0.2463 0.1626  1 Tc 2.38
3 I 0.5883 0.8200 0.7742  2 Cl 3.02-3.05
4 K 0.6076 0.5232 0.3025  6 Cl 3.24-3.43, 1 I 3.58
5 Tc 0.3413 0.3113 0.0323  6 Cl 2.36-2.40
6 Cl 0.6629 0.1364 0.7611  1 Tc 2.37
7 Cl 0.0263 0.4963 0.2951  1 Tc 2.37
8 Cl 0.2635 0.0126 0.2993  1 Tc 2.36
9 Cl 0.4071 0.6139 0.7553  1 Tc 2.37
10 K 0.0802 0.1244 0.7362  6 Cl 3.26-3.53, 1 I 3.55

- Calculated total energy: -36.150 eV/f.u.
- Formation energy from raw total energies: -1.096 eV/atom
- Total moment: 2.02 μB per formula unit

***

Density functional theory data (PBE) for a geometry-optimized K3TcI2Cl6 structure.

Cell lengths 7.0659, 7.1564, 8.8721 Å; angles 113.78, 92.57, 90.00 degrees
Closest atoms and distances in Å follow each position.
Element x y z (fractional)
1 Cl 0.6789 0.8361 0.1438  1 Tc 2.38
2 Tc 0.5000 0.0000 0.0000  6 Cl 2.38
3 Cl 0.2860 0.1083 0.2166  1 Tc 2.38
4 Cl 0.3211 0.1639 0.8562  1 Tc 2.38
5 Cl 0.7140 0.8917 0.7834  1 Tc 2.38
6 K 0.5000 0.0000 0.5000  4 Cl 3.21-3.23, 2 K 3.58
7 I 0.0314 0.7315 0.4631  1 Cl 3.52, 2 I 3.66, 3 K 3.76
8 K 0.5000 0.5000 0.5000  4 Cl 3.21-3.23, 2 K 3.58
9 Cl 0.6789 0.3078 0.1438  1 Tc 2.38
10 I 0.9686 0.2685 0.5369  1 Cl 3.52, 2 I 3.66, 3 K 3.76
11 Cl 0.3211 0.6922 0.8562  1 Tc 2.38
12 K 0.0000 0.5000 0.0000  4 Cl 3.22

- N(E_F): 1.77 states/eV/cell
- Calculated total energy: -41.294 eV/f.u.
- Formation energy from raw total energies: -1.121 eV/atom
- Total moment: 3.03 μB per formula unit